# Sc3Sn2Ge | the Alexandria database | PBE | relaxed
# ΔH_f (0 K)	-3.3	eV/f.u.
# DOS(E_F)	16.58	states/eV per cell
# mass density	5.4	g/cm³
# total energy	-5.817	eV/atom
data_Sc3Sn2Ge
_chemical_formula_sum 'Sc12 Sn8 Ge4'
_space_group_name_H-M_alt 'P n m a'
_space_group_IT_number 62
_space_group_name_Hall '-P 2ac 2n'
_cell_length_a 11.9459
_cell_length_b 4.1219
_cell_length_c 11.1831
_cell_angle_alpha 90.00
_cell_angle_beta 90.00
_cell_angle_gamma 90.00
loop_
_atom_site_label
_atom_site_type_symbol
_atom_site_fract_x
_atom_site_fract_y
_atom_site_fract_z
Sc1 Sc 0.0554 0.2500 0.1152
Sc2 Sc 0.1178 0.7500 0.5456
Sc3 Sc 0.2421 0.7500 0.2720
Sn1 Sn 0.0245 0.2500 0.7166
Sn2 Sn 0.1852 0.7500 0.9956
Ge1 Ge 0.1174 0.2500 0.3708


# Ti2VIr5 | the Alexandria database | PBE | relaxed
# ΔH_f (0 K)	-5.6	eV/f.u.
# DOS(E_F)	11.12	states/eV per cell
# mass density	15.7	g/cm³
# total energy	-9.351	eV/atom
data_Ti2VIr5
_chemical_formula_sum 'Ti4 V2 Ir10'
_space_group_name_H-M_alt 'P b a m'
_space_group_IT_number 55
_space_group_name_Hall '-P 2 2ab'
_cell_length_a 5.4436
_cell_length_b 10.7480
_cell_length_c 3.9933
_cell_angle_alpha 90.00
_cell_angle_beta 90.00
_cell_angle_gamma 90.00
loop_
_atom_site_label
_atom_site_type_symbol
_atom_site_fract_x
_atom_site_fract_y
_atom_site_fract_z
Ti1 Ti 0.1909 0.1397 0.0000
V1 V 0.0000 0.5000 0.5000
Ir1 Ir 0.0000 0.0000 0.5000
Ir2 Ir 0.0513 0.7418 0.5000
Ir3 Ir 0.2064 0.3892 0.0000


# Ho8TlTc2 | the Alexandria database | PBE | relaxed
# ΔH_f (0 K)	-1.1	eV/f.u.
# DOS(E_F)	13.27	states/eV per cell
# mass density	9.9	g/cm³
# total energy	-5.530	eV/atom
data_Ho8TlTc2
_chemical_formula_sum 'Ho16 Tl2 Tc4'
_space_group_name_H-M_alt 'C 1 m 1'
_space_group_IT_number 8
_space_group_name_Hall 'C -2y'
_cell_length_a 8.7239
_cell_length_b 15.7218
_cell_length_c 5.3233
_cell_angle_alpha 90.00
_cell_angle_beta 127.58
_cell_angle_gamma 90.00
loop_
_atom_site_label
_atom_site_type_symbol
_atom_site_fract_x
_atom_site_fract_y
_atom_site_fract_z
Ho1 Ho 0.0000 0.0000 0.0000
Ho2 Ho 0.0859 0.1698 0.5856
Ho3 Ho 0.1198 0.2902 0.1193
Ho4 Ho 0.2311 0.5000 0.2317
Ho5 Ho 0.4486 0.1101 0.4484
Tl1 Tl 0.2963 0.0000 0.7961
Tc1 Tc 0.3157 0.3355 0.8146


# Pr8CoPt3I4 | the Alexandria database | PBE | relaxed
# raw formation energy	-981	meV/atom
# DOS(E_F)	22.76	states/eV per cell
# mass density	7.4	g/cm³
# total energy	-5.335	eV/atom
data_Pr8CoPt3I4
_chemical_formula_sum 'Pr16 Co2 Pt6 I8'
_space_group_name_H-M_alt 'C 1 2/m 1'
_space_group_IT_number 12
_space_group_name_Hall '-C 2y'
_cell_length_a 14.7632
_cell_length_b 8.5225
_cell_length_c 9.5220
_cell_angle_alpha 90.00
_cell_angle_beta 121.19
_cell_angle_gamma 90.00
loop_
_atom_site_label
_atom_site_type_symbol
_atom_site_fract_x
_atom_site_fract_y
_atom_site_fract_z
Pr1 Pr 0.0181 0.2396 0.3151
Pr2 Pr 0.2217 0.0000 0.6850
Pr3 Pr 0.2295 0.5000 0.6880
Co1 Co 0.0000 0.0000 0.5000
Pt1 Pt 0.0000 0.5000 0.5000
Pt2 Pt 0.2500 0.2500 0.5000
I1 I 0.0000 0.0000 0.0000
I2 I 0.0000 0.5000 0.0000
I3 I 0.2500 0.2500 0.0000


# ScAuSe2 | the Alexandria database | PBE | relaxed
# raw formation energy	-902	meV/atom
# DOS(E_F)	2.99	states/eV per cell
# mass density	6.5	g/cm³
# total energy	-5.046	eV/atom
data_ScAuSe2
_chemical_formula_sum 'Sc4 Au4 Se8'
_space_group_name_H-M_alt 'P n m a'
_space_group_IT_number 62
_space_group_name_Hall '-P 2ac 2n'
_cell_length_a 7.3686
_cell_length_b 4.0021
_cell_length_c 13.8543
_cell_angle_alpha 90.00
_cell_angle_beta 90.00
_cell_angle_gamma 90.00
loop_
_atom_site_label
_atom_site_type_symbol
_atom_site_fract_x
_atom_site_fract_y
_atom_site_fract_z
Sc1 Sc 0.0889 0.2500 0.1000
Au1 Au 0.1356 0.7500 0.2622
Se1 Se 0.1151 0.7500 0.7331
Se2 Se 0.2187 0.7500 0.9999


# KI3F | the Alexandria database | PBE | relaxed
# raw formation energy	-533	meV/atom
# DOS(E_F)	5.19	states/eV per cell
# mass density	4.4	g/cm³
# total energy	-2.057	eV/atom
# relative energy among the computed polymorphs	0.000	eV per formula unit
data_KI3F
_chemical_formula_sum 'K1 I3 F1'
_space_group_name_H-M_alt 'P m -3 m'
_space_group_IT_number 221
_space_group_name_Hall '-P 4 2 3'
_cell_length_a 5.5033
_cell_length_b 5.5033
_cell_length_c 5.5033
_cell_angle_alpha 90.00
_cell_angle_beta 90.00
_cell_angle_gamma 90.00
loop_
_atom_site_label
_atom_site_type_symbol
_atom_site_fract_x
_atom_site_fract_y
_atom_site_fract_z
K1 K 0.0000 0.0000 0.0000
I1 I 0.0000 0.5000 0.5000
F1 F 0.5000 0.5000 0.5000


# Al3CrAs | the Alexandria database | PBE | relaxed
# ΔH_f (0 K)	6.4	eV/f.u.
# DOS(E_F)	7.70	states/eV per cell
# mass density	3.2	g/cm³
# total energy	-3.813	eV/atom
# relative energy among the computed polymorphs	2.765	eV per formula unit
data_Al3CrAs
_chemical_formula_sum 'Al3 Cr1 As1'
_space_group_name_H-M_alt 'P m -3 m'
_space_group_IT_number 221
_space_group_name_Hall '-P 4 2 3'
_cell_length_a 4.7803
_cell_length_b 4.7803
_cell_length_c 4.7803
_cell_angle_alpha 90.00
_cell_angle_beta 90.00
_cell_angle_gamma 90.00
loop_
_atom_site_label
_atom_site_type_symbol
_atom_site_fract_x
_atom_site_fract_y
_atom_site_fract_z
Al1 Al 0.0000 0.0000 0.5000
Cr1 Cr 0.5000 0.5000 0.5000
As1 As 0.0000 0.0000 0.0000


Number 4 is which compound?
Pr8CoPt3I4